1.
A relaxed Na3Sm2ErTe6 crystal, computed with PBE-GGA.

Lattice parameters (Å, degrees): 7.7406 7.7406 7.9969 99.29 99.29 120.01
Closest atoms and distances in Å follow each position.
Element x y z (fractional)
Na (0.1688, 0.8312, 0.5000)  6 Te 3.25-3.29
Na (0.8312, 0.1688, 0.5000)  6 Te 3.25-3.29
Na (0.5000, 0.5000, 0.5000)  6 Te 3.25-3.31
Sm (0.3337, 0.6663, 0.0000)  6 Te 3.15
Sm (0.6663, 0.3337, 0.0000)  6 Te 3.15
Er (0.0000, 0.0000, 0.0000)  6 Te 3.09
Te (0.9220, 0.5951, 0.7657)  1 Er 3.09, 2 Sm 3.15, 3 Na 3.25-3.29
Te (0.7517, 0.7517, 0.2345)  1 Er 3.09, 2 Sm 3.15, 3 Na 3.27-3.31
Te (0.0780, 0.4049, 0.2343)  1 Er 3.09, 2 Sm 3.15, 3 Na 3.25-3.29
Te (0.5951, 0.9220, 0.7657)  1 Er 3.09, 2 Sm 3.15, 3 Na 3.25-3.29
Te (0.2483, 0.2483, 0.7655)  1 Er 3.09, 2 Sm 3.15, 3 Na 3.27-3.31
Te (0.4049, 0.0780, 0.2343)  1 Er 3.09, 2 Sm 3.15, 3 Na 3.25-3.29

Output
size of the total moment = 0.00 μB per cell
raw formation energy = -127 kJ/mol of atoms

2.
A relaxed Li3HfNi crystal, computed with PBE-GGA.

Lattice parameters (Å, degrees): 4.3140 4.3140 4.3140 90.00 90.00 90.00
Closest atoms and distances in Å follow each position.
Element x y z (fractional)
Ni (0.0000, 0.0000, 0.0000)  6 Li 2.16
Hf (0.5000, 0.5000, 0.5000)  12 Li 3.05
Li (0.0000, 0.5000, 0.0000)  2 Ni 2.16
Li (0.0000, 0.0000, 0.5000)  2 Ni 2.16
Li (0.5000, 0.0000, 0.0000)  2 Ni 2.16

Output
size of the total moment = 0.00 μB per cell
calculated total energy = -18.388 eV for the cell shown

3.
A relaxed TlP3C crystal, computed with PBE-GGA.

Lattice parameters (Å, degrees): 4.2837 4.2837 4.2837 90.00 90.00 90.00
Closest atoms and distances in Å follow each position.
Element x y z (fractional)
P (0.0000, 0.5000, 0.0000)  2 C 2.14
P (0.0000, 0.0000, 0.5000)  2 C 2.14
P (0.5000, 0.0000, 0.0000)  2 C 2.14
Tl (0.5000, 0.5000, 0.5000)  12 P 3.03
C (0.0000, 0.0000, 0.0000)  6 P 2.14

Output
size of the total moment = 0.00 μB per cell
calculated total energy = -21.721 eV for the cell shown

4.
A relaxed K2Na5Tl2Pb crystal, computed with PBE-GGA.

Lattice parameters (Å, degrees): 4.6875 12.4140 12.4140 90.00 90.00 90.00
Closest atoms and distances in Å follow each position.
Element x y z (fractional)
K (0.0000, 0.6754, 0.1754)  3 Tl 3.53-3.77, 2 Na 3.87
K (0.0000, 0.3246, 0.8246)  3 Tl 3.53-3.77, 2 Na 3.87
K (0.0000, 0.1754, 0.3246)  3 Tl 3.53-3.77, 2 Na 3.87
K (0.0000, 0.8246, 0.6754)  3 Tl 3.53-3.77, 2 Na 3.87
Na (0.5000, 0.1927, 0.0620)  2 Tl 3.36, 2 Pb 3.44, 2 Na 3.55
Na (0.5000, 0.8073, 0.9380)  2 Tl 3.36, 2 Pb 3.44, 2 Na 3.55
Na (0.5000, 0.0620, 0.8073)  2 Tl 3.36, 2 Pb 3.44, 2 Na 3.55
Na (0.5000, 0.6927, 0.4380)  2 Tl 3.36, 2 Pb 3.44, 2 Na 3.55
Na (0.5000, 0.9380, 0.1927)  2 Tl 3.36, 2 Pb 3.44, 2 Na 3.55
Na (0.5000, 0.3073, 0.5620)  2 Tl 3.36, 2 Pb 3.44, 2 Na 3.55
Na (0.5000, 0.5620, 0.6927)  2 Tl 3.36, 2 Pb 3.44, 2 Na 3.55
Na (0.5000, 0.4380, 0.3073)  2 Tl 3.36, 2 Pb 3.44, 2 Na 3.55
Na (0.5000, 0.5000, 0.0000)  4 Tl 3.20
Na (0.5000, 0.0000, 0.5000)  4 Tl 3.20
Tl (0.0000, 0.1238, 0.6238)  6 Na 3.20-3.36, 1 K 3.53
Tl (0.0000, 0.8762, 0.3762)  6 Na 3.20-3.36, 1 K 3.53
Tl (0.0000, 0.6238, 0.8762)  6 Na 3.20-3.36, 1 K 3.53
Tl (0.0000, 0.3762, 0.1238)  6 Na 3.20-3.36, 1 K 3.53
Pb (0.0000, 0.0000, 0.0000)  8 Na 3.44
Pb (0.0000, 0.5000, 0.5000)  8 Na 3.44

Output
size of the total moment = 0.00 μB per cell
calculated total energy = -35.780 eV for the cell shown

5.
A relaxed Li2CeTl2Cd2 crystal, computed with PBE-GGA.

Lattice parameters (Å, degrees): 4.9166 5.0954 7.7396 102.17 90.00 118.85
Closest atoms and distances in Å follow each position.
Element x y z (fractional)
Li (0.1337, 0.2675, 0.4392)  1 Li 2.77, 1 Cd 2.83, 1 Tl 2.98
Li (0.8663, 0.7325, 0.5608)  1 Li 2.77, 1 Cd 2.83, 1 Tl 2.98
Ce (0.0000, 0.0000, 0.0000)  6 Cd 3.25-3.29, 2 Li 3.32, 4 Tl 3.48
Tl (0.5981, 0.1962, 0.7278)  3 Cd 2.96, 3 Li 2.98-3.27
Tl (0.4019, 0.8038, 0.2722)  3 Cd 2.96, 3 Li 2.98-3.27
Cd (0.7119, 0.4237, 0.1962)  1 Li 2.83, 3 Tl 2.96
Cd (0.2881, 0.5763, 0.8038)  1 Li 2.83, 3 Tl 2.96

Output
size of the total moment = 0.92 μB per cell
calculated total energy = -17.553 eV for the cell shown

6.
A relaxed LaVSb3 crystal, computed with PBE-GGA.

Lattice parameters (Å, degrees): 5.9669 5.9669 5.9669 90.00 90.00 90.00
Closest atoms and distances in Å follow each position.
Element x y z (fractional)
Sb (0.0000, 0.5000, 0.0000)  2 La 2.98
Sb (0.0000, 0.0000, 0.5000)  2 La 2.98
Sb (0.5000, 0.0000, 0.0000)  2 La 2.98
La (0.0000, 0.0000, 0.0000)  6 Sb 2.98
V (0.5000, 0.5000, 0.5000)  12 Sb 4.22

Output
size of the total moment = 3.51 μB per cell
raw formation energy = 101 kJ/mol of atoms